Here is a relaxed structure of La2HfMnAg from Alexandria. Energies are from PBE.

The space group is P4/mmm (No. 123) and the conventional cell measures 5.7018, 5.7018 and 5.0508 Å, with angles of 90.00, 90.00 and 90.00 degrees. The distinct sites, in fractional coordinates, are La at (0.0000, 0.5000, 0.0000), Hf at (0.0000, 0.0000, 0.0000), Mn at (0.5000, 0.5000, 0.5000) and Ag at (0.0000, 0.0000, 0.5000).

As for the electronic total energy: -4.91 eV per atom. For the size of the total moment, the calculation gives 0.1 Bohr magnetons per cell. The density of states at the Fermi level is 2.466 states/eV/atom. The formation energy is 140.4 kJ per mole of atoms. The crystal system is tetragonal.

Here is a relaxed structure of Li3ZnGa7 from Alexandria. Energies are from PBE.

The space group is C2/m (No. 12) and the conventional cell measures 9.8205, 9.0238 and 5.1550 Å, with angles of 90.00, 118.65 and 90.00 degrees. The distinct sites, in fractional coordinates, are Li at (0.0000, 0.0000, 0.0000), Li at (0.0000, 0.1858, 0.5000), Zn at (0.0000, 0.5000, 0.0000), Ga at (0.0000, 0.5000, 0.5000), Ga at (0.1714, 0.2432, 0.1456) and Ga at (0.2280, 0.0000, 0.5316).

As for the electronic total energy: -2.65 eV per atom. For the size of the total moment, the calculation gives 0.0 Bohr magnetons per cell. The density of states at the Fermi level is 0.374 states/eV/atom. The formation energy is -7.8 kJ per mole of atoms. The crystal system is monoclinic.

Repeat the second record exactly.
Here is a relaxed structure of Li3ZnGa7 from Alexandria. Energies are from PBE.

The space group is C2/m (No. 12) and the conventional cell measures 9.8205, 9.0238 and 5.1550 Å, with angles of 90.00, 118.65 and 90.00 degrees. The distinct sites, in fractional coordinates, are Li at (0.0000, 0.0000, 0.0000), Li at (0.0000, 0.1858, 0.5000), Zn at (0.0000, 0.5000, 0.0000), Ga at (0.0000, 0.5000, 0.5000), Ga at (0.1714, 0.2432, 0.1456) and Ga at (0.2280, 0.0000, 0.5316).

As for the electronic total energy: -2.65 eV per atom. For the size of the total moment, the calculation gives 0.0 Bohr magnetons per cell. The density of states at the Fermi level is 0.374 states/eV/atom. The formation energy is -7.8 kJ per mole of atoms. The crystal system is monoclinic.

Q: Look up the size of the total moment of the second one.
A: 0.0 Bohr magnetons per cell

Q: Which of these has the highest electronic total energy?
A: Li3ZnGa7